Fe2CuP2O10 | PBEsol | relaxed

Unit cell a=7.305 b=7.317 c=6.893 alpha=90.00 beta=117.45 gamma=90.00
Space group P2_1/c (No. 14)
Asymmetric unit:
Fe  0.230  0.232  0.223 x4
Cu  0.500  0.000  0.000 x2
P  0.255  0.630  0.000 x4
O  0.059  0.744  0.920 x4
O  0.253  0.511  0.815 x4
O  0.260  0.176  0.994 x4
O  0.281  0.504  0.195 x4
O  0.441  0.737  0.592 x4

raw formation energy: -1.49 eV/atom
spin magnetization: 8.77 μB/f.u.
theoretical density: 4.03 g/cm³

---

Ti3Fe2CuP6O24 | PBEsol | relaxed

Unit cell a=8.6186 b=8.6186 c=20.1132 alpha=90.00 beta=90.00 gamma=120.00
Space group R3 (No. 146, hexagonal axes)
Asymmetric unit:
Ti  0.0000  0.0000  0.0000 x3
Ti  0.0000  0.0000  0.2175 x3
Ti  0.0000  0.0000  0.5023 x3
Fe  0.0000  0.0000  0.3569 x3
Fe  0.0000  0.0000  0.8538 x3
Cu  0.0000  0.0000  0.7143 x3
P  0.0019  0.7076  0.1096 x9
P  0.0032  0.2960  0.6116 x9
O  0.0058  0.1782  0.2822 x9
O  0.0077  0.2106  0.6753 x9
O  0.0241  0.8312  0.7901 x9
O  0.0288  0.8294  0.1694 x9
O  0.1466  0.6720  0.7137 x9
O  0.1497  0.4764  0.2163 x9
O  0.1685  0.6841  0.0995 x9
O  0.1708  0.4852  0.5984 x9

raw formation energy: -2.19 eV/atom
spin magnetization: 9.00 μB/f.u.
theoretical density: 3.42 g/cm³

---

Sr2FeCuPb2O6 | PBEsol | relaxed

Unit cell a=3.768 b=3.748 c=12.399 alpha=90.00 beta=91.44 gamma=90.00
Space group P2/m (No. 10)
Asymmetric unit:
Sr  0.012  0.000  0.146 x2
Fe  0.500  0.500  0.000 x1
Cu  0.000  0.000  0.500 x1
Pb  0.492  0.500  0.642 x2
O  0.000  0.500  0.000 x1
O  0.086  0.000  0.355 x2
O  0.483  0.500  0.818 x2
O  0.500  0.000  0.000 x1

raw formation energy: -1.67 eV/atom
spin magnetization: 3.54 μB/f.u.
theoretical density: 7.64 g/cm³

---

PrFe4Cu3O12 | PBEsol | relaxed

Unit cell a=7.184 b=7.184 c=7.184 alpha=90.00 beta=90.00 gamma=90.00
Space group Im-3 (No. 204)
Asymmetric unit:
Pr  0.000  0.000  0.000 x2
Fe  0.250  0.250  0.250 x8
Cu  0.000  0.000  0.500 x6
O  0.000  0.180  0.305 x24

raw formation energy: -1.37 eV/atom
spin magnetization: 9.64 μB/f.u.
theoretical density: 6.69 g/cm³

---

Sr3Fe2Cu2S2O5 | PBEsol | relaxed

Unit cell a=3.840 b=3.840 c=26.007 alpha=90.00 beta=90.00 gamma=90.00
Space group I4/mmm (No. 139)
Asymmetric unit:
Sr  0.000  0.000  0.000 x2
Sr  0.000  0.000  0.141 x4
Fe  0.000  0.000  0.428 x4
Cu  0.000  0.500  0.250 x4
S  0.000  0.000  0.303 x4
O  0.000  0.000  0.500 x2
O  0.000  0.500  0.080 x8

raw formation energy: -1.68 eV/atom
spin magnetization: 7.30 μB/f.u.
theoretical density: 5.59 g/cm³

---

Sr3Fe2Cu2Se2O5 | PBEsol | relaxed

Unit cell a=3.885 b=3.885 c=26.689 alpha=90.00 beta=90.00 gamma=90.00
Space group I4/mmm (No. 139)
Asymmetric unit:
Sr  0.000  0.000  0.000 x2
Sr  0.000  0.000  0.136 x4
Fe  0.000  0.000  0.430 x4
Cu  0.000  0.500  0.250 x4
Se  0.000  0.000  0.307 x4
O  0.000  0.000  0.500 x2
O  0.000  0.500  0.077 x8

raw formation energy: -1.64 eV/atom
spin magnetization: 7.39 μB/f.u.
theoretical density: 6.10 g/cm³

---

TbFe4Cu3O12 | PBEsol | relaxed

Unit cell a=7.123 b=7.123 c=7.123 alpha=90.00 beta=90.00 gamma=90.00
Space group Im-3 (No. 204)
Asymmetric unit:
Tb  0.000  0.000  0.000 x2
Fe  0.250  0.250  0.250 x8
Cu  0.000  0.000  0.500 x6
O  0.000  0.177  0.301 x24

raw formation energy: -1.39 eV/atom
spin magnetization: 7.97 μB/f.u.
theoretical density: 7.03 g/cm³

---

TmFe4Cu3O12 | PBEsol | relaxed

Unit cell a=7.079 b=7.079 c=7.079 alpha=90.00 beta=90.00 gamma=90.00
Space group Im-3 (No. 204)
Asymmetric unit:
Tm  0.000  0.000  0.000 x2
Fe  0.250  0.250  0.250 x8
Cu  0.000  0.000  0.500 x6
O  0.000  0.176  0.299 x24

raw formation energy: -1.39 eV/atom
spin magnetization: 6.08 μB/f.u.
theoretical density: 7.25 g/cm³